The following is a GGA-PBE calculation of a geometry-optimized Y2Si2P structure, from Alexandria.

abc: 3.6037 3.6037 15.9036
angles: 90.00 90.00 90.00
Last column: nearest neighbours and their distance in Å.
Space group I4/mmm (No. 139)
Unique sites:
Y1 0.0000 0.0000 0.0998 (multiplicity 4)  4 Si 2.99, 4 P 3.00, 1 Y 3.18
Si1 0.0000 0.5000 0.2500 (multiplicity 4)  4 Si 2.55
P1 0.0000 0.0000 0.5000 (multiplicity 2)  8 Y 3.00

Calculated values
Formation energy from raw total energies   -0.75 eV/atom
Total DFT energy (no corrections)   -6.587 eV/atom
DOS at the Fermi energy   0.450 states/eV per atom